VASP calculation (PBE) on a geometry-optimized Zn3PtAu2 structure.

Values from the calculation:
space group	P4/mmm
DFT formation energy	-0.31	eV/atom
D(E_F)	1.71	states/eV/cell

Cell: 3.065 3.065 10.029 Å, 90.00 90.00 90.00°
Atoms (fractional coordinates):
Zn 0.000 0.000 0.000
Zn 0.000 0.000 0.344
Zn 0.000 0.000 0.656
Pt 0.500 0.500 0.500
Au 0.500 0.500 0.171
Au 0.500 0.500 0.829